! LiTlSi (GGA-PBE, optimized geometry); values from VASP
! Raw formation energy (eV/atom): 0.10
! Spin magnetization (μB/f.u.): 0.0
! SG: P6_3mc, No. 186
&SYSTEM
  ibrav = 0, nat = 6, ntyp = 3
/
ATOMIC_SPECIES
Li 6.94 Li.upf
Tl 204.38 Tl.upf
Si 28.09 Si.upf
ATOMIC_POSITIONS angstrom
Li 0.000 0.000 0.000
Li 0.000 0.000 3.715
Tl 0.000 2.584 1.891
Tl 2.238 1.292 5.606
Si 0.000 2.584 4.657
Si 2.238 1.292 0.942
CELL_PARAMETERS angstrom
4.475 0.000 0.000
-2.238 3.876 0.000
0.000 0.000 7.431